No. 1
A plane-wave DFT calculation with GGA-PBE was carried out for Mg6CdGa5 after structural relaxation.

Its relative energy among the computed polymorphs is 0 meV per atom. As for the total energy: -2.252 eV/atom.

The structure belongs to space group P2/m (No. 10); the cell edges are 5.004, 6.476 and 7.347 Å and the angles 90.00°, 96.12° and 90.00°. The distinct sites, in fractional coordinates, are Mg at (0.000, 0.244, 0.000), Mg at (0.330, 0.247, 0.662), Cd at (0.500, 0.500, 0.000), Ga at (0.162, 0.500, 0.334), Ga at (0.169, 0.000, 0.335) and Ga at (0.500, 0.000, 0.000).


No. 2
A plane-wave DFT calculation with GGA-PBE was carried out for Mg5Cd4Ga2 after structural relaxation.

As for the total energy: -1.699 eV/atom.

The structure belongs to space group Pbam (No. 55); the cell edges are 7.797, 17.143 and 3.479 Å and the angles 90.00°, 90.00° and 90.00°. The distinct sites, in fractional coordinates, are Mg at (0.000, 0.000, 0.000), Mg at (0.126, 0.425, 0.000), Mg at (0.237, 0.217, 0.000), Cd at (0.080, 0.855, 0.500), Cd at (0.210, 0.567, 0.500) and Ga at (0.027, 0.305, 0.500).


No. 3
A plane-wave DFT calculation with GGA-PBE was carried out for Mg4CdGa after structural relaxation.

Its relative energy among the computed polymorphs is 0 meV per atom. As for the total energy: -1.804 eV/atom.

The structure belongs to space group C2/m (No. 12); the cell edges are 10.667, 3.140 and 8.270 Å and the angles 90.00°, 113.02° and 90.00°. The distinct sites, in fractional coordinates, are Mg at (0.155, 0.000, 0.340), Mg at (0.166, 0.000, 0.820), Cd at (0.000, 0.500, 0.000) and Ga at (0.000, 0.500, 0.500).


No. 4
A plane-wave DFT calculation with GGA-PBE was carried out for Mg2Cd9Ga after structural relaxation.

As for the total energy: -1.226 eV/atom.

The structure belongs to space group P4/mmm (No. 123); the cell edges are 4.423, 4.423 and 13.509 Å and the angles 90.00°, 90.00° and 90.00°. The distinct sites, in fractional coordinates, are Mg at (0.000, 0.000, 0.168), Cd at (0.000, 0.500, 0.000), Cd at (0.000, 0.500, 0.334), Cd at (0.500, 0.500, 0.168), Cd at (0.500, 0.500, 0.500) and Ga at (0.000, 0.000, 0.500).


No. 5
A plane-wave DFT calculation with GGA-PBE was carried out for Mg4CdGa2 after structural relaxation.

Its relative energy among the computed polymorphs is 23 meV per atom. As for the total energy: -1.957 eV/atom.

The structure belongs to space group P2_1/m (No. 11); the cell edges are 7.397, 5.868 and 7.461 Å and the angles 90.00°, 111.80° and 90.00°. The distinct sites, in fractional coordinates, are Mg at (0.020, 0.250, 0.406), Mg at (0.213, 0.750, 0.339), Mg at (0.405, 0.003, 0.767), Cd at (0.161, 0.250, 0.016), Ga at (0.239, 0.750, 0.983) and Ga at (0.391, 0.250, 0.427).


No. 6
A plane-wave DFT calculation with GGA-PBE was carried out for Mg3Cd3Ga after structural relaxation.

Its relative energy among the computed polymorphs is 0 meV per atom. As for the total energy: -1.583 eV/atom.

The structure belongs to space group P6_3/m (No. 176); the cell edges are 8.3115, 8.3115 and 4.9501 Å and the angles 90.00°, 90.00° and 120.00°. The distinct sites, in fractional coordinates, are Mg at (0.1003, 0.4744, 0.2500), Cd at (0.0472, 0.2446, 0.7500) and Ga at (0.3333, 0.6667, 0.7500).


no.,E_form (eV/atom)
1,-0.117
2,-0.091
3,-0.084
4,-0.021
5,-0.050
6,-0.075